[1]
# LiTeP2S

A relaxed structure of LiTeP2S (PBE, Alexandria).

calculated density: 2.81 g/cm³
energy above the lowest structure with this stoichiometry: 0.041 eV/atom
E_form (uncorrected): 742 meV/atom

a b c (Å): 5.088 5.088 5.210
angles (deg): 90.00 90.00 90.00
Space group P4/mmm (No. 123)
Asymmetric unit:
Li  0.000  0.000  0.000 (multiplicity 1)
Te  0.500  0.500  0.500 (multiplicity 1)
P  0.000  0.500  0.500 (multiplicity 2)
S  0.500  0.500  0.000 (multiplicity 1)

=====

[2]
# CaSmCdPb

A relaxed structure of CaSmCdPb (PBE, Alexandria).

calculated density: 7.33 g/cm³
energy above the lowest structure with this stoichiometry: 0.021 eV/atom
energy relative to the elements: -0.427 eV per atom

a b c (Å): 7.733 7.733 7.733
angles (deg): 90.00 90.00 90.00
Space group F-43m (No. 216)
Asymmetric unit:
Ca  0.000  0.000  0.000 (multiplicity 4)
Sm  0.000  0.000  0.500 (multiplicity 4)
Cd  0.250  0.250  0.250 (multiplicity 4)
Pb  0.250  0.250  0.750 (multiplicity 4)

=====

[3]
# SrTlI2N

A relaxed structure of SrTlI2N (PBE, Alexandria).

calculated density: 4.31 g/cm³
energy above the lowest structure with this stoichiometry: 0.000 eV/atom
E_form (uncorrected): -189 meV/atom

a b c (Å): 6.526 6.526 5.068
angles (deg): 90.00 90.00 90.00
Space group P4/mmm (No. 123)
Asymmetric unit:
Sr  0.000  0.000  0.000 (multiplicity 1)
Tl  0.500  0.500  0.500 (multiplicity 1)
I  0.000  0.500  0.000 (multiplicity 2)
N  0.000  0.000  0.500 (multiplicity 1)

=====

[4]
# Sm5DyY8

A relaxed structure of Sm5DyY8 (PBE, Alexandria).

calculated density: 5.73 g/cm³
energy relative to the elements: 0.240 eV per atom

a b c (Å): 9.631 9.631 10.155
angles (deg): 90.00 90.00 90.00
Space group I-4 (No. 82)
Asymmetric unit:
Sm  0.000  0.000  0.000 (multiplicity 2)
Sm  0.109  0.214  0.577 (multiplicity 8)
Dy  0.000  0.500  0.250 (multiplicity 2)
Y  0.072  0.324  0.905 (multiplicity 8)
Y  0.084  0.176  0.247 (multiplicity 8)

=====

[5]
# Sc2WBr

A relaxed structure of Sc2WBr (PBE, Alexandria).

calculated density: 6.38 g/cm³
energy above the lowest structure with this stoichiometry: 0.517 eV/atom
E_form (uncorrected): 247 meV/atom

a b c (Å): 3.1863 3.1863 31.3944
angles (deg): 90.00 90.00 120.00
Space group R3m (No. 160, hexagonal axes)
Asymmetric unit:
Sc  0.0000  0.0000  0.0000 (multiplicity 3)
Sc  0.0000  0.0000  0.2438 (multiplicity 3)
W  0.0000  0.0000  0.7356 (multiplicity 3)
Br  0.0000  0.0000  0.5159 (multiplicity 3)

=====

[6]
# Tl3CdN

A relaxed structure of Tl3CdN (PBE, Alexandria).

calculated density: 6.99 g/cm³
energy above the lowest structure with this stoichiometry: 0.776 eV/atom
E_form (uncorrected): 1404 meV/atom

a b c (Å): 5.601 5.601 5.601
angles (deg): 90.00 90.00 90.00
Space group Pm-3m (No. 221)
Asymmetric unit:
Tl  0.000  0.000  0.500 (multiplicity 3)
Cd  0.000  0.000  0.000 (multiplicity 1)
N  0.500  0.500  0.500 (multiplicity 1)

=====

[7]
# KSn3S6

A relaxed structure of KSn3S6 (PBE, Alexandria).

calculated density: 3.35 g/cm³
E_form (uncorrected): -502 meV/atom

a b c (Å): 11.947 3.769 13.462
angles (deg): 90.00 105.76 90.00
Space group P2_1/m (No. 11)
Asymmetric unit:
K  0.139  0.250  0.411 (multiplicity 2)
Sn  0.076  0.750  0.918 (multiplicity 2)
Sn  0.215  0.250  0.738 (multiplicity 2)
Sn  0.496  0.750  0.624 (multiplicity 2)
S  0.009  0.250  0.780 (multiplicity 2)
S  0.133  0.250  0.057 (multiplicity 2)
S  0.142  0.750  0.608 (multiplicity 2)
S  0.274  0.750  0.881 (multiplicity 2)
S  0.368  0.750  0.438 (multiplicity 2)
S  0.429  0.250  0.732 (multiplicity 2)

=====

[8]
# K12Tl3H5

A relaxed structure of K12Tl3H5 (PBE, Alexandria).

total energy: -1.8455 eV per atom
calculated density: 2.34 g/cm³

a b c (Å): 18.345 18.345 18.345
angles (deg): 90.00 90.00 90.00
Space group Ia-3d (No. 230)
Asymmetric unit:
K  0.036  0.048  0.648 (multiplicity 96)
Tl  0.000  0.250  0.125 (multiplicity 24)
H  0.000  0.000  0.000 (multiplicity 16)
H  0.000  0.250  0.375 (multiplicity 24)

=====

[9]
# NpRh4Se8

A relaxed structure of NpRh4Se8 (PBE, Alexandria).

calculated density: 7.41 g/cm³
E_form (uncorrected): -542 meV/atom

a b c (Å): 7.6131 7.6131 17.1471
angles (deg): 90.00 90.00 120.00
Space group R-3m (No. 166, hexagonal axes)
Asymmetric unit:
Np  0.0000  0.0000  0.0000 (multiplicity 3)
Rh  0.0000  0.0000  0.5000 (multiplicity 3)
Rh  0.0000  0.5000  0.5000 (multiplicity 9)
Se  0.0000  0.0000  0.2422 (multiplicity 6)
Se  0.0046  0.5023  0.2387 (multiplicity 18)

=====

[10]
# LiLa2Dy

A relaxed structure of LiLa2Dy (PBE, Alexandria).

calculated density: 5.64 g/cm³
energy above the lowest structure with this stoichiometry: 0.003 eV/atom
energy relative to the elements: 0.069 eV per atom

a b c (Å): 3.6340 3.6340 34.5369
angles (deg): 90.00 90.00 120.00
Space group R3m (No. 160, hexagonal axes)
Asymmetric unit:
Li  0.0000  0.0000  0.0000 (multiplicity 3)
La  0.0000  0.0000  0.4169 (multiplicity 3)
La  0.0000  0.0000  0.5845 (multiplicity 3)
Dy  0.0000  0.0000  0.1675 (multiplicity 3)

=====

[11]
# Ac2AgPd

A relaxed structure of Ac2AgPd (PBE, Alexandria).

calculated density: 8.38 g/cm³
energy relative to the elements: -0.474 eV per atom

a b c (Å): 4.4414 4.4414 23.2677
angles (deg): 90.00 90.00 120.00
Space group R3m (No. 160, hexagonal axes)
Asymmetric unit:
Ac  0.0000  0.0000  0.0000 (multiplicity 3)
Ac  0.0000  0.0000  0.1855 (multiplicity 3)
Ag  0.0000  0.0000  0.7590 (multiplicity 3)
Pd  0.0000  0.0000  0.5936 (multiplicity 3)

=====

[12]
# Cu2BPS4

A relaxed structure of Cu2BPS4 (PBE, Alexandria).

calculated density: 3.76 g/cm³
E_form (uncorrected): -141 meV/atom

a b c (Å): 4.749 5.423 5.909
angles (deg): 71.40 66.49 88.82
Space group P1 (No. 1)
Asymmetric unit:
Cu  0.000  0.000  0.000 (multiplicity 1)
Cu  0.210  0.722  0.532 (multiplicity 1)
B  0.473  0.476  0.026 (multiplicity 1)
P  0.691  0.259  0.493 (multiplicity 1)
S  0.148  0.164  0.260 (multiplicity 1)
S  0.387  0.775  0.817 (multiplicity 1)
S  0.627  0.623  0.225 (multiplicity 1)
S  0.830  0.362  0.776 (multiplicity 1)

=====

[13]
# TeRhCN2

A relaxed structure of TeRhCN2 (PBE, Alexandria).

calculated density: 5.41 g/cm³
energy above the lowest structure with this stoichiometry: 0.000 eV/atom
E_form (uncorrected): 1914 meV/atom

a b c (Å): 3.684 3.684 6.117
angles (deg): 90.00 90.00 90.00
Space group P4/mmm (No. 123)
Asymmetric unit:
Te  0.000  0.000  0.000 (multiplicity 1)
Rh  0.000  0.000  0.500 (multiplicity 1)
C  0.500  0.500  0.000 (multiplicity 1)
N  0.000  0.500  0.500 (multiplicity 2)

=====

[14]
# Ca2CePd4

A relaxed structure of Ca2CePd4 (PBE, Alexandria).

calculated density: 7.00 g/cm³
energy relative to the elements: -0.615 eV per atom

a b c (Å): 10.455 4.695 6.608
angles (deg): 90.00 109.22 90.00
Space group C2/m (No. 12)
Asymmetric unit:
Ca  0.141  0.000  0.220 (multiplicity 4)
Ce  0.000  0.500  0.500 (multiplicity 2)
Pd  0.111  0.500  0.929 (multiplicity 4)
Pd  0.154  0.000  0.700 (multiplicity 4)

=====

[15]
# Er6Sb2TeAs3

A relaxed structure of Er6Sb2TeAs3 (PBE, Alexandria).

calculated density: 8.38 g/cm³
E_form (uncorrected): -1360 meV/atom

a b c (Å): 18.395 4.192 8.467
angles (deg): 90.00 103.93 90.00
Space group C2/m (No. 12)
Asymmetric unit:
Er  0.004  0.000  0.233 (multiplicity 4)
Er  0.163  0.500  0.093 (multiplicity 4)
Er  0.173  0.500  0.575 (multiplicity 4)
Sb  0.166  0.000  0.832 (multiplicity 4)
Te  0.000  0.500  0.500 (multiplicity 2)
As  0.000  0.500  0.000 (multiplicity 2)
As  0.165  0.000  0.334 (multiplicity 4)

=====

[16]
# LiPmSm2Tl4

A relaxed structure of LiPmSm2Tl4 (PBE, Alexandria).

calculated density: 9.56 g/cm³
energy relative to the elements: -0.350 eV per atom

a b c (Å): 5.3143 5.3143 27.0546
angles (deg): 90.00 90.00 120.00
Space group R-3m (No. 166, hexagonal axes)
Asymmetric unit:
Li  0.0000  0.0000  0.0000 (multiplicity 3)
Pm  0.0000  0.0000  0.5000 (multiplicity 3)
Sm  0.0000  0.0000  0.2558 (multiplicity 6)
Tl  0.0000  0.0000  0.1231 (multiplicity 6)
Tl  0.0000  0.0000  0.3731 (multiplicity 6)

=====

[17]
# Ca2InNi16

A relaxed structure of Ca2InNi16 (PBE, Alexandria).

calculated density: 7.54 g/cm³
energy relative to the elements: -0.074 eV per atom

a b c (Å): 8.4233 8.4233 12.1995
angles (deg): 90.00 90.00 120.00
Space group R3m (No. 160, hexagonal axes)
Asymmetric unit:
Ca  0.0000  0.0000  0.0000 (multiplicity 3)
Ca  0.0000  0.0000  0.3049 (multiplicity 3)
In  0.0000  0.0000  0.7439 (multiplicity 3)
Ni  0.0000  0.0000  0.5394 (multiplicity 3)
Ni  0.0002  0.2989  0.6478 (multiplicity 18)
Ni  0.0082  0.5041  0.1485 (multiplicity 9)
Ni  0.1682  0.3364  0.1378 (multiplicity 9)
Ni  0.1680  0.3361  0.8274 (multiplicity 9)

=====

[18]
# Sm6HSe3S2

A relaxed structure of Sm6HSe3S2 (PBE, Alexandria).

total energy: -5.8052 eV per atom
calculated density: 7.08 g/cm³

a b c (Å): 17.716 3.996 8.240
angles (deg): 90.00 104.48 90.00
Space group C2/m (No. 12)
Asymmetric unit:
Sm  0.002  0.000  0.231 (multiplicity 4)
Sm  0.158  0.500  0.092 (multiplicity 4)
Sm  0.170  0.500  0.570 (multiplicity 4)
H  0.000  0.500  0.000 (multiplicity 2)
Se  0.000  0.500  0.500 (multiplicity 2)
Se  0.170  0.000  0.834 (multiplicity 4)
S  0.166  0.000  0.333 (multiplicity 4)

=====

[19]
# Hg2BiI

A relaxed structure of Hg2BiI (PBE, Alexandria).

calculated density: 10.02 g/cm³
energy above the lowest structure with this stoichiometry: 0.306 eV/atom
E_form (uncorrected): 218 meV/atom

a b c (Å): 7.877 7.877 7.877
angles (deg): 90.00 90.00 90.00
Space group Fm-3m (No. 225)
Asymmetric unit:
Hg  0.250  0.250  0.250 (multiplicity 8)
Bi  0.000  0.000  0.000 (multiplicity 4)
I  0.000  0.000  0.500 (multiplicity 4)